No. 1
4
Lattice="0.0000 3.7074 3.7074 3.7074 0.0000 3.7074 3.7074 3.7074 0.0000" Properties=species:S:1:pos:R:3 comment="GGA-PBE TbGdAlCd, relaxed" formation_enthalpy_0k_ev_per_atom=-0.355 magmom_total_mub_per_atom=1.8950 pbc="T T T"
Tb 0.0000 0.0000 0.0000
Gd 3.7074 3.7074 3.7074
Al 5.5611 5.5611 5.5611
Cd 1.8537 1.8537 1.8537



No. 2
4
Lattice="0.0000 3.7533 3.7533 3.7533 0.0000 3.7533 3.7533 3.7533 0.0000" Properties=species:S:1:pos:R:3 comment="GGA-PBE GdThAlCd, relaxed" formation_enthalpy_0k_ev_per_atom=-0.234 magmom_total_mub_per_atom=1.7984 pbc="T T T"
Gd 0.0000 0.0000 0.0000
Th 3.7533 3.7533 3.7533
Al 1.8767 1.8767 1.8767
Cd 5.6300 5.6300 5.6300



No. 3
4
Lattice="0.0000 3.7029 3.7029 3.7029 0.0000 3.7029 3.7029 3.7029 0.0000" Properties=species:S:1:pos:R:3 comment="GGA-PBE GdYAlCd, relaxed" formation_enthalpy_0k_ev_per_atom=-0.370 magmom_total_mub_per_atom=1.8891 pbc="T T T"
Gd 0.0000 0.0000 0.0000
Y 3.7029 3.7029 3.7029
Al 1.8514 1.8514 1.8514
Cd 5.5543 5.5543 5.5543



no.,final energy (eV per formula unit)
1,-24.79
2,-27.10
3,-26.68